Entry 1:
First-principles (PBE) data for an optimized crystal structure of Ba5CaTl6, as listed in Alexandria via LeMat-Bulk.

Values from the calculation:
ΔH_f (0 K)	-407	meV/atom
space group	C2/m, No. 12

abc: 10.375 10.375 5.967
angles: 106.69 106.69 120.39
Atoms (fractional coordinates):
Ba: 0.000 0.000 0.000
Ba: 0.162 0.838 0.500
Ba: 0.323 0.677 0.000
Ba: 0.677 0.323 0.000
Ba: 0.838 0.162 0.500
Ca: 0.500 0.500 0.500
Tl: 0.118 0.432 0.275
Tl: 0.286 0.286 0.786
Tl: 0.432 0.118 0.275
Tl: 0.568 0.882 0.725
Tl: 0.714 0.714 0.214
Tl: 0.882 0.568 0.725

***

Entry 2:
First-principles (PBE) data for an optimized crystal structure of AlIn2Os, as listed in Alexandria via LeMat-Bulk.

Values from the calculation:
ΔH_f (0 K)	106	meV/atom
space group	P4mm, No. 99

abc: 3.089 3.089 8.389
angles: 90.00 90.00 90.00
Atoms (fractional coordinates):
Al: 0.000 0.000 0.000
In: 0.000 0.000 0.622
In: 0.500 0.500 0.283
Os: 0.500 0.500 0.846

***

Entry 3:
First-principles (PBE) data for an optimized crystal structure of Ho5Er4Co2, as listed in Alexandria via LeMat-Bulk.

Values from the calculation:
ΔH_f (0 K)	-4	meV/atom
space group	P2/m, No. 10

abc: 8.732 3.518 9.761
angles: 90.00 93.43 90.00
Atoms (fractional coordinates):
Ho: 0.000 0.000 0.000
Ho: 0.021 0.000 0.334
Ho: 0.350 0.000 0.854
Ho: 0.650 0.000 0.146
Ho: 0.979 0.000 0.666
Er: 0.315 0.500 0.179
Er: 0.315 0.500 0.533
Er: 0.685 0.500 0.467
Er: 0.685 0.500 0.821
Co: 0.462 0.000 0.353
Co: 0.538 0.000 0.647

***

Entry 4:
First-principles (PBE) data for an optimized crystal structure of Tb3AlC, as listed in Alexandria via LeMat-Bulk.

Values from the calculation:
ΔH_f (0 K)	1424	meV/atom
space group	Pm-3m, No. 221
polymorph energy (0 for the lowest one)	1.7862	eV per atom

abc: 5.365 5.365 5.365
angles: 90.00 90.00 90.00
Atoms (fractional coordinates):
Tb: 0.000 0.000 0.500
Tb: 0.000 0.500 0.000
Tb: 0.500 0.000 0.000
Al: 0.000 0.000 0.000
C: 0.500 0.500 0.500

***

Entry 5:
First-principles (PBE) data for an optimized crystal structure of TbSmRu, as listed in Alexandria via LeMat-Bulk.

Values from the calculation:
ΔH_f (0 K)	-221	meV/atom
space group	C2/m, No. 12
polymorph energy (0 for the lowest one)	0.0442	eV per atom

abc: 6.863 6.792 7.089
angles: 90.00 104.01 90.00
Atoms (fractional coordinates):
Tb: 0.060 0.000 0.241
Tb: 0.440 0.500 0.759
Tb: 0.560 0.500 0.241
Tb: 0.940 0.000 0.759
Sm: 0.063 0.500 0.247
Sm: 0.437 0.000 0.753
Sm: 0.563 0.000 0.247
Sm: 0.937 0.500 0.753
Ru: 0.250 0.250 0.000
Ru: 0.250 0.750 0.000
Ru: 0.750 0.250 0.000
Ru: 0.750 0.750 0.000

***

Entry 6:
First-principles (PBE) data for an optimized crystal structure of TiNi7Sb2Pt2, as listed in Alexandria via LeMat-Bulk.

Values from the calculation:
space group	C2/m, No. 12
formation energy (no corrections)	-0.19	eV per atom

abc: 3.537 3.537 13.982
angles: 97.00 97.00 89.99
Atoms (fractional coordinates):
Ti: 0.000 0.000 0.000
Ni: 0.063 0.563 0.131
Ni: 0.270 0.270 0.536
Ni: 0.437 0.937 0.869
Ni: 0.500 0.500 0.000
Ni: 0.563 0.063 0.131
Ni: 0.730 0.730 0.464
Ni: 0.937 0.437 0.869
Sb: 0.173 0.173 0.359
Sb: 0.827 0.827 0.641
Pt: 0.370 0.370 0.730
Pt: 0.630 0.630 0.270

***

Entry 7:
First-principles (PBE) data for an optimized crystal structure of La5Re3, as listed in Alexandria via LeMat-Bulk.

Values from the calculation:
ΔH_f (0 K)	370	meV/atom
space group	P6_3/mcm, No. 193
polymorph energy (0 for the lowest one)	0.0000	eV per atom

abc: 8.723 8.723 6.338
angles: 90.00 90.00 120.00
Atoms (fractional coordinates):
La: 0.000 0.263 0.250
La: 0.000 0.737 0.750
La: 0.263 0.000 0.250
La: 0.263 0.263 0.750
La: 0.333 0.667 0.000
La: 0.333 0.667 0.500
La: 0.667 0.333 0.000
La: 0.667 0.333 0.500
La: 0.737 0.000 0.750
La: 0.737 0.737 0.250
Re: 0.000 0.404 0.750
Re: 0.000 0.596 0.250
Re: 0.404 0.000 0.750
Re: 0.404 0.404 0.250
Re: 0.596 0.000 0.250
Re: 0.596 0.596 0.750

***

Entry 8:
First-principles (PBE) data for an optimized crystal structure of Th2Al4Ni3Pd, as listed in Alexandria via LeMat-Bulk.

Values from the calculation:
ΔH_f (0 K)	-647	meV/atom
space group	P-4m2, No. 115

abc: 4.179 4.179 10.157
angles: 90.00 90.00 90.00
Atoms (fractional coordinates):
Th: 0.000 0.500 0.245
Th: 0.500 0.000 0.755
Al: 0.000 0.000 0.000
Al: 0.000 0.500 0.630
Al: 0.500 0.000 0.370
Al: 0.500 0.500 0.000
Ni: 0.000 0.500 0.867
Ni: 0.500 0.000 0.133
Ni: 0.500 0.500 0.500
Pd: 0.000 0.000 0.500

***

Entry 9:
First-principles (PBE) data for an optimized crystal structure of TaCr2Si, as listed in Alexandria via LeMat-Bulk.

Values from the calculation:
space group	P4mm, No. 99
formation energy (no corrections)	-0.10	eV per atom

abc: 2.901 2.901 6.397
angles: 90.00 90.00 90.00
Atoms (fractional coordinates):
Ta: 0.000 0.000 0.000
Cr: 0.000 0.000 0.497
Cr: 0.500 0.500 0.308
Si: 0.500 0.500 0.712

***

Entry 10:
First-principles (PBE) data for an optimized crystal structure of PrSm2YSe4, as listed in Alexandria via LeMat-Bulk.

Values from the calculation:
space group	P2/m, No. 10
formation energy (no corrections)	-1.80	eV per atom

abc: 7.217 4.125 7.314
angles: 90.00 108.87 90.00
Atoms (fractional coordinates):
Pr: 0.000 0.000 0.000
Sm: 0.500 0.000 0.500
Sm: 0.500 0.500 0.000
Y: 0.000 0.500 0.500
Se: 0.247 0.000 0.742
Se: 0.253 0.500 0.258
Se: 0.747 0.500 0.742
Se: 0.753 0.000 0.258

***

Entry 11:
First-principles (PBE) data for an optimized crystal structure of ZrTlBr, as listed in Alexandria via LeMat-Bulk.

Values from the calculation:
space group	P3m1, No. 156
formation energy (no corrections)	-0.47	eV per atom
polymorph energy (0 for the lowest one)	0.0000	eV per atom

abc: 3.428 3.428 8.242
angles: 90.00 90.00 120.00
Atoms (fractional coordinates):
Zr: 0.000 0.000 0.000
Tl: 0.667 0.333 0.699
Br: 0.333 0.667 0.230

***

Entry 12:
First-principles (PBE) data for an optimized crystal structure of CeNd2Y3, as listed in Alexandria via LeMat-Bulk.

Values from the calculation:
ΔH_f (0 K)	165	meV/atom
space group	Pnnm, No. 58

abc: 6.972 16.382 3.511
angles: 90.00 90.00 90.00
Atoms (fractional coordinates):
Ce: 0.000 0.000 0.000
Ce: 0.500 0.500 0.500
Nd: 0.249 0.346 0.000
Nd: 0.251 0.846 0.500
Nd: 0.749 0.154 0.500
Nd: 0.751 0.654 0.000
Y: 0.000 0.500 0.500
Y: 0.245 0.155 0.500
Y: 0.255 0.655 0.000
Y: 0.500 0.000 0.000
Y: 0.745 0.345 0.000
Y: 0.755 0.845 0.500

***

Entry 13:
First-principles (PBE) data for an optimized crystal structure of Ac6Y2Tm, as listed in Alexandria via LeMat-Bulk.

Values from the calculation:
ΔH_f (0 K)	123	meV/atom
space group	P2/m, No. 10

abc: 9.147 3.827 10.685
angles: 90.00 99.86 90.00
Atoms (fractional coordinates):
Ac: 0.014 0.000 0.173
Ac: 0.308 0.500 0.402
Ac: 0.376 0.000 0.742
Ac: 0.624 0.000 0.258
Ac: 0.692 0.500 0.598
Ac: 0.986 0.000 0.827
Y: 0.314 0.500 0.044
Y: 0.686 0.500 0.956
Tm: 0.000 0.000 0.500

***

Entry 14:
First-principles (PBE) data for an optimized crystal structure of CdP, as listed in Alexandria via LeMat-Bulk.

Values from the calculation:
ΔH_f (0 K)	202	meV/atom
space group	Imma, No. 74
polymorph energy (0 for the lowest one)	0.2440	eV per atom

abc: 3.254 4.923 10.038
angles: 90.00 90.00 90.00
Atoms (fractional coordinates):
Cd: 0.000 0.250 0.102
Cd: 0.000 0.750 0.898
Cd: 0.500 0.250 0.398
Cd: 0.500 0.750 0.602
P: 0.000 0.250 0.671
P: 0.000 0.750 0.329
P: 0.500 0.250 0.829
P: 0.500 0.750 0.171

***

Entry 15:
First-principles (PBE) data for an optimized crystal structure of Zr5Sn2H2, as listed in Alexandria via LeMat-Bulk.

Values from the calculation:
space group	C2/m, No. 12

abc: 5.707 5.707 7.787
angles: 96.60 96.60 40.34
Atoms (fractional coordinates):
Zr: 0.000 0.000 0.000
Zr: 0.136 0.136 0.440
Zr: 0.291 0.291 0.854
Zr: 0.709 0.709 0.146
Zr: 0.864 0.864 0.560
Sn: 0.423 0.423 0.270
Sn: 0.577 0.577 0.730
H: 0.154 0.154 0.179
H: 0.846 0.846 0.821

***

Entry 16:
First-principles (PBE) data for an optimized crystal structure of BaEuCuBi, as listed in Alexandria via LeMat-Bulk.

Values from the calculation:
ΔH_f (0 K)	-445	meV/atom
space group	F-43m, No. 216

abc: 8.100 8.100 8.100
angles: 90.00 90.00 90.00
Atoms (fractional coordinates):
Ba: 0.000 0.000 0.000
Ba: 0.000 0.500 0.500
Ba: 0.500 0.000 0.500
Ba: 0.500 0.500 0.000
Eu: 0.000 0.000 0.500
Eu: 0.000 0.500 0.000
Eu: 0.500 0.000 0.000
Eu: 0.500 0.500 0.500
Cu: 0.250 0.250 0.750
Cu: 0.250 0.750 0.250
Cu: 0.750 0.250 0.250
Cu: 0.750 0.750 0.750
Bi: 0.250 0.250 0.250
Bi: 0.250 0.750 0.750
Bi: 0.750 0.250 0.750
Bi: 0.750 0.750 0.250

***

Entry 17:
First-principles (PBE) data for an optimized crystal structure of Ca2OsCl, as listed in Alexandria via LeMat-Bulk.

Values from the calculation:
space group	Fm-3m, No. 225
formation energy (no corrections)	-0.03	eV per atom
polymorph energy (0 for the lowest one)	0.4561	eV per atom

abc: 7.117 7.117 7.117
angles: 90.00 90.00 90.00
Atoms (fractional coordinates):
Ca: 0.250 0.250 0.250
Ca: 0.250 0.250 0.750
Ca: 0.250 0.750 0.250
Ca: 0.250 0.750 0.750
Ca: 0.750 0.250 0.250
Ca: 0.750 0.250 0.750
Ca: 0.750 0.750 0.250
Ca: 0.750 0.750 0.750
Os: 0.000 0.000 0.000
Os: 0.000 0.500 0.500
Os: 0.500 0.000 0.500
Os: 0.500 0.500 0.000
Cl: 0.000 0.000 0.500
Cl: 0.000 0.500 0.000
Cl: 0.500 0.000 0.000
Cl: 0.500 0.500 0.500

***

Entry 18:
First-principles (PBE) data for an optimized crystal structure of PrInCuNi, as listed in Alexandria via LeMat-Bulk.

Values from the calculation:
ΔH_f (0 K)	-229	meV/atom
space group	F-43m, No. 216

abc: 6.766 6.766 6.766
angles: 90.00 90.00 90.00
Atoms (fractional coordinates):
Pr: 0.000 0.000 0.000
Pr: 0.000 0.500 0.500
Pr: 0.500 0.000 0.500
Pr: 0.500 0.500 0.000
In: 0.000 0.000 0.500
In: 0.000 0.500 0.000
In: 0.500 0.000 0.000
In: 0.500 0.500 0.500
Cu: 0.250 0.250 0.250
Cu: 0.250 0.750 0.750
Cu: 0.750 0.250 0.750
Cu: 0.750 0.750 0.250
Ni: 0.250 0.250 0.750
Ni: 0.250 0.750 0.250
Ni: 0.750 0.250 0.250
Ni: 0.750 0.750 0.750

***

Entry 19:
First-principles (PBE) data for an optimized crystal structure of BaZrI2N, as listed in Alexandria via LeMat-Bulk.

Values from the calculation:
space group	P4/mmm, No. 123
formation energy (no corrections)	-0.80	eV per atom
polymorph energy (0 for the lowest one)	0.0000	eV per atom

abc: 6.011 6.011 4.172
angles: 90.00 90.00 90.00
Atoms (fractional coordinates):
Ba: 0.000 0.000 0.000
Zr: 0.500 0.500 0.500
I: 0.000 0.500 0.500
I: 0.500 0.000 0.500
N: 0.500 0.500 0.000

***

Entry 20:
First-principles (PBE) data for an optimized crystal structure of PmCuAgBi, as listed in Alexandria via LeMat-Bulk.

Values from the calculation:
ΔH_f (0 K)	-205	meV/atom
space group	F-43m, No. 216

abc: 7.163 7.163 7.163
angles: 90.00 90.00 90.00
Atoms (fractional coordinates):
Pm: 0.000 0.000 0.000
Pm: 0.000 0.500 0.500
Pm: 0.500 0.000 0.500
Pm: 0.500 0.500 0.000
Cu: 0.250 0.250 0.250
Cu: 0.250 0.750 0.750
Cu: 0.750 0.250 0.750
Cu: 0.750 0.750 0.250
Ag: 0.250 0.250 0.750
Ag: 0.250 0.750 0.250
Ag: 0.750 0.250 0.250
Ag: 0.750 0.750 0.750
Bi: 0.000 0.000 0.500
Bi: 0.000 0.500 0.000
Bi: 0.500 0.000 0.000
Bi: 0.500 0.500 0.500

***

Entry 21:
First-principles (PBE) data for an optimized crystal structure of YTlCl2, as listed in Alexandria via LeMat-Bulk.

Values from the calculation:
space group	R-3m, No. 166
formation energy (no corrections)	-1.34	eV per atom
polymorph energy (0 for the lowest one)	0.0000	eV per atom

abc: 3.588 3.588 30.837
angles: 90.00 90.00 120.00
Atoms (fractional coordinates):
Y: 0.000 0.000 0.000
Y: 0.333 0.667 0.667
Y: 0.667 0.333 0.333
Tl: 0.000 0.000 0.500
Tl: 0.333 0.667 0.167
Tl: 0.667 0.333 0.833
Cl: 0.000 0.000 0.392
Cl: 0.000 0.000 0.608
Cl: 0.333 0.667 0.059
Cl: 0.333 0.667 0.275
Cl: 0.667 0.333 0.725
Cl: 0.667 0.333 0.941

***

Entry 22:
First-principles (PBE) data for an optimized crystal structure of KSmY, as listed in Alexandria via LeMat-Bulk.

Values from the calculation:
ΔH_f (0 K)	181	meV/atom
space group	P4/nmm, No. 129

abc: 3.738 3.738 17.808
angles: 90.00 90.00 90.00
Atoms (fractional coordinates):
K: 0.250 0.250 0.114
K: 0.750 0.750 0.886
Sm: 0.250 0.250 0.430
Sm: 0.750 0.750 0.570
Y: 0.250 0.250 0.701
Y: 0.750 0.750 0.299

***

no.,final energy (eV per cell),spin magnetization (μB/f.u.)
1,-30.7,0.00
2,-20.0,0.00
3,-55.4,0.78
4,-19.7,0.00
5,-77.2,0.00
6,-71.0,0.75
7,-118.0,0.00
8,-58.8,0.00
9,-36.9,0.00
10,-49.1,0.00
11,-14.0,0.00
12,-67.7,0.50
13,-40.9,0.00
14,-23.7,0.00
15,-61.5,0.00
16,-87.8,7.01
17,-68.9,1.00
18,-73.2,0.00
19,-25.9,0.00
20,-65.6,0.00
21,-53.6,0.00
22,-23.5,0.41